Entry 1:
ThScHg: optimized geometry, PBE-GGA.

N(E_F)   21.95 states/eV per cell
SG   P2_1/m (11)
Size of the total moment   0.000 μB per atom
Formation energy   -0.1910 eV/atom
Crystal system   monoclinic

```
18
Lattice="-2.2477 -3.3176 -2.0874 4.8393 -5.4228 3.4077 -8.3631 -0.8077 10.2890" Properties=species:S:1:pos:R:3 pbc="T T T"
Th -2.4325 -5.6205 4.2168
Th -6.5355 -1.4209 6.8505
Th 0.7640 -8.1272 4.7588
Th 0.6942 -5.9402 1.3583
Th -3.3390 -3.9276 7.3926
Th -6.4656 -3.6079 10.2511
Hg -4.4271 -5.7594 11.4756
Hg -6.5273 -4.6970 7.1583
Hg -2.7620 -7.2302 7.1300
Hg -1.3444 -3.7887 0.1338
Hg -3.0095 -2.3179 4.4793
Hg 0.7559 -4.8511 4.4510
Sc 3.3720 -6.1493 3.6973
Sc -0.3083 -5.8004 7.1056
Sc -5.0818 -6.7127 8.8054
Sc -5.4632 -3.7477 4.5037
Sc -0.6897 -2.8354 2.8039
Sc -9.1435 -3.3988 7.9120
```

***

Entry 2:
LiCdSnSb: optimized geometry, PBE-GGA.

N(E_F)   1.38 states/eV per cell
Energy relative to the elements, uncorrected   -72 meV/atom
SG   F-43m (216)
Size of the total moment   0.000 μB per atom
Crystal system   cubic

```
4
Lattice="-2.4423 -3.6472 2.7146 2.6754 -3.8863 2.0916 0.6114 -0.2513 5.1185" Properties=species:S:1:pos:R:3 pbc="T T T"
Sb 0.4222 -3.8924 4.9623
Li 0.2111 -1.9462 2.4812
Sn 0.0000 0.0000 0.0000
Cd 0.6333 -5.8386 7.4435
```

***

Entry 3:
VHg3Pd: optimized geometry, PBE-GGA.

N(E_F)   5.75 states/eV per cell
SG   Pm-3m (221)
Size of the total moment   0.840 μB per atom
Formation energy   0.6759 eV/atom
Crystal system   cubic

```
5
Lattice="-4.2933 0.5081 -2.8468 -2.8597 -1.5025 4.0446 -0.4293 4.9274 1.5268" Properties=species:S:1:pos:R:3 pbc="T T T"
Hg -1.4299 -0.7512 2.0223
Hg -0.2147 2.4637 0.7634
Hg -2.1466 0.2540 -1.4234
Pd 0.0000 0.0000 0.0000
V -3.7912 1.9665 1.3623
```

***

Entry 4:
Hf4AgS8: optimized geometry, PBE-GGA.

N(E_F)   3.14 states/eV per cell
Energy relative to the elements, uncorrected   -1410 meV/atom
SG   F-43m (216)
Size of the total moment   0.000 μB per atom
Crystal system   cubic

```
13
Lattice="-3.3162 -3.5413 -5.6891 2.9335 -6.3333 -2.6808 -3.4738 -6.5170 1.1683" Properties=species:S:1:pos:R:3 pbc="T T T"
Hf -3.1355 -7.9101 -5.5967
Hf 0.0723 -9.3432 -4.0527
Hf -3.2164 -9.4374 -2.0770
Hf -1.4334 -6.0925 -2.6767
Ag -2.8923 -12.2937 -5.4012
S -2.0869 -3.8322 -3.6568
S 0.8965 -5.1650 -2.2207
S -2.1622 -5.2527 -0.3832
S -0.5039 -2.1416 -0.9409
S -0.8456 -8.4520 -1.8109
S -3.7223 -7.1668 -3.1955
S -0.7730 -7.0823 -4.9673
S -2.3720 -10.0820 -4.4295
```

***

Entry 5:
TlFePCl2: optimized geometry, PBE-GGA.

N(E_F)   7.36 states/eV per cell
Energy relative to the elements, uncorrected   808 meV/atom
SG   P4/mmm (123)
Size of the total moment   0.774 μB per atom
Crystal system   tetragonal

```
5
Lattice="-2.9272 -0.6095 -4.3712 -3.5931 -2.7167 2.7850 -2.5462 4.4759 1.0810" Properties=species:S:1:pos:R:3 pbc="T T T"
P -1.2731 2.2380 0.5405
Tl 0.0000 0.0000 0.0000
Fe -4.5333 0.5749 -0.2526
Cl -1.7966 -1.3583 1.3925
Cl -1.4636 -0.3047 -2.1856
```

***

Entry 6:
Hf2Sb2S7: optimized geometry, PBE-GGA.

Energy relative to the elements, uncorrected   -888 meV/atom
SG   Imm2 (44)
Size of the total moment   0.000 μB per atom
Crystal system   orthorhombic

```
11
Lattice="-0.5388 -2.3394 2.7502 8.4711 -0.2327 3.8845 -1.6800 5.8446 7.0654" Properties=species:S:1:pos:R:3 pbc="T T T"
Hf 6.0208 1.2343 4.6523
Hf 3.0342 1.6913 6.8789
Sb 4.6362 3.0026 10.7311
Sb 0.8965 0.7007 3.1946
S -0.8934 0.2706 4.9009
S 2.6917 1.8972 9.4098
S 7.2871 -0.8549 5.5462
S 3.8438 -0.1840 5.4423
S 5.4959 1.6081 7.2904
S 3.5880 5.1319 9.9141
S 1.6482 2.5202 4.8896
```

***

Entry 7:
Be2CdAg: optimized geometry, PBE-GGA.

N(E_F)   1.13 states/eV per cell
SG   I-4m2 (119)
Size of the total moment   0.000 μB per atom
Formation energy   0.3620 eV/atom
Crystal system   tetragonal

```
4
Lattice="-3.1457 0.6839 3.6426 0.5480 -3.0114 3.7766 2.9519 2.8564 -2.5998" Properties=species:S:1:pos:R:3 pbc="T T T"
Be 0.0000 0.0000 0.0000
Be 1.1005 -0.6594 2.4432
Ag -0.7463 1.1882 2.3762
Cd -1.2989 -1.1638 3.7096
```

***

Entry 8:
LiSi2Rh: optimized geometry, PBE-GGA.

N(E_F)   1.09 states/eV per cell
Energy relative to the elements, uncorrected   -432 meV/atom
SG   Fm-3m (225)
Size of the total moment   0.000 μB per atom
Crystal system   cubic

```
4
Lattice="-1.3646 -3.8684 0.8224 -1.2961 -0.9858 3.8538 -4.0638 -0.6732 0.7320" Properties=species:S:1:pos:R:3 pbc="T T T"
Si -1.6811 -1.3818 1.3520
Si -5.0434 -4.1455 4.0561
Rh -3.3622 -2.7637 2.7041
Li 0.0000 0.0000 0.0000
```

***

Listing E_tot for the structures above in their given order: -4.875; -2.810; -2.367; -7.232; -3.179; -6.074; -2.443; -5.460 eV/atom.